# 1
First-principles (PBE-GGA) data for a relaxed TmRh4 crystal, as listed in Alexandria.

```
data_TmRh4
_chemical_formula_sum 'Tm1 Rh4'
_symmetry_space_group_name_H-M 'P m -3 m'
_symmetry_Int_Tables_number 221
_symmetry_space_group_name_Hall '-P 4 2 3'
_cell_length_a 4.7544
_cell_length_b 4.7544
_cell_length_c 4.7544
_cell_angle_alpha 90.00
_cell_angle_beta 90.00
_cell_angle_gamma 90.00
loop_
_atom_site_label
_atom_site_type_symbol
_atom_site_fract_x
_atom_site_fract_y
_atom_site_fract_z
Tm1 Tm 0.0000 0.0000 0.0000
Rh1 Rh 0.0000 0.0000 0.5000
Rh2 Rh 0.5000 0.5000 0.5000
```

Output
The total magnetic moment comes out at 3.07 Bohr magnetons per cell. For the excess energy over the best structure of this formula in the dataset, the calculation gives 1.6179 eV/atom.

# 2
First-principles (PBE-GGA) data for a relaxed TmU2Rh9 crystal, as listed in Alexandria.

```
data_TmU2Rh9
_chemical_formula_sum 'Tm1 U2 Rh9'
_symmetry_space_group_name_H-M 'P 4/m m m'
_symmetry_Int_Tables_number 123
_symmetry_space_group_name_Hall '-P 4 2'
_cell_length_a 4.0228
_cell_length_b 4.0228
_cell_length_c 12.0329
_cell_angle_alpha 90.00
_cell_angle_beta 90.00
_cell_angle_gamma 90.00
loop_
_atom_site_label
_atom_site_type_symbol
_atom_site_fract_x
_atom_site_fract_y
_atom_site_fract_z
Tm1 Tm 0.0000 0.0000 0.0000
U1 U 0.0000 0.0000 0.3303
Rh1 Rh 0.0000 0.5000 0.1734
Rh2 Rh 0.0000 0.5000 0.5000
Rh3 Rh 0.5000 0.5000 0.0000
Rh4 Rh 0.5000 0.5000 0.3358
```

Output
The total magnetic moment comes out at 0.00 Bohr magnetons per cell.

# 3
First-principles (PBE-GGA) data for a relaxed TmURh4 crystal, as listed in Alexandria.

```
data_TmURh4
_chemical_formula_sum 'Tm4 U4 Rh16'
_symmetry_space_group_name_H-M 'F -4 3 m'
_symmetry_Int_Tables_number 216
_symmetry_space_group_name_Hall 'F -4 2 3'
_cell_length_a 7.5002
_cell_length_b 7.5002
_cell_length_c 7.5002
_cell_angle_alpha 90.00
_cell_angle_beta 90.00
_cell_angle_gamma 90.00
loop_
_atom_site_label
_atom_site_type_symbol
_atom_site_fract_x
_atom_site_fract_y
_atom_site_fract_z
Tm1 Tm 0.0000 0.0000 0.0000
U1 U 0.2500 0.2500 0.7500
Rh1 Rh 0.1252 0.1252 0.3748
```

Output
The total magnetic moment comes out at 7.94 Bohr magnetons per cell.

# 4
First-principles (PBE-GGA) data for a relaxed TmURh crystal, as listed in Alexandria.

```
data_TmURh
_chemical_formula_sum 'Tm16 U16 Rh16'
_symmetry_space_group_name_H-M 'F d d d'
_symmetry_Int_Tables_number 70
_cell_length_a 6.4162
_cell_length_b 8.8886
_cell_length_c 18.7243
_cell_angle_alpha 90.00
_cell_angle_beta 90.00
_cell_angle_gamma 90.00
loop_
_symmetry_equiv_pos_as_xyz
'x,y,z'
'-x,-y,-z'
'-x+1/4,-y+1/4,z'
'x+1/4,y+1/4,-z'
'x,-y+1/4,-z+1/4'
'-x,y+1/4,z+1/4'
'-x+1/4,y,-z+1/4'
'x+1/4,-y,z+1/4'
'x,y+1/2,z+1/2'
'-x,-y+1/2,-z+1/2'
'-x+1/4,-y+3/4,z+1/2'
'x+1/4,y+3/4,-z+1/2'
'x,-y+3/4,-z+3/4'
'-x,y+3/4,z+3/4'
'-x+1/4,y+1/2,-z+3/4'
'x+1/4,-y+1/2,z+3/4'
'x+1/2,y,z+1/2'
'-x+1/2,-y,-z+1/2'
'-x+3/4,-y+1/4,z+1/2'
'x+3/4,y+1/4,-z+1/2'
'x+1/2,-y+1/4,-z+3/4'
'-x+1/2,y+1/4,z+3/4'
'-x+3/4,y,-z+3/4'
'x+3/4,-y,z+3/4'
'x+1/2,y+1/2,z'
'-x+1/2,-y+1/2,-z'
'-x+3/4,-y+3/4,z'
'x+3/4,y+3/4,-z'
'x+1/2,-y+3/4,-z+1/4'
'-x+1/2,y+3/4,z+1/4'
'-x+3/4,y+1/2,-z+1/4'
'x+3/4,-y+1/2,z+1/4'
loop_
_atom_site_label
_atom_site_type_symbol
_atom_site_fract_x
_atom_site_fract_y
_atom_site_fract_z
Tm1 Tm 0.1250 0.1250 0.0407
U1 U 0.1250 0.1250 0.5342
Rh1 Rh 0.1250 0.3486 0.6250
```

Output
The total magnetic moment comes out at 28.95 Bohr magnetons per cell.

# 5
First-principles (PBE-GGA) data for a relaxed TmVRh2 crystal, as listed in Alexandria.

```
data_TmVRh2
_chemical_formula_sum 'Tm1 V1 Rh2'
_symmetry_space_group_name_H-M 'P 4/m m m'
_symmetry_Int_Tables_number 123
_symmetry_space_group_name_Hall '-P 4 2'
_cell_length_a 3.0509
_cell_length_b 3.0509
_cell_length_c 7.0893
_cell_angle_alpha 90.00
_cell_angle_beta 90.00
_cell_angle_gamma 90.00
loop_
_atom_site_label
_atom_site_type_symbol
_atom_site_fract_x
_atom_site_fract_y
_atom_site_fract_z
Tm1 Tm 0.0000 0.0000 0.0000
V1 V 0.0000 0.0000 0.5000
Rh1 Rh 0.5000 0.5000 0.2916
```

Output
The total magnetic moment comes out at 0.54 Bohr magnetons per cell. For the excess energy over the best structure of this formula in the dataset, the calculation gives 0.0000 eV/atom.

# 6
First-principles (PBE-GGA) data for a relaxed TmVRh2 crystal, as listed in Alexandria.

```
data_TmVRh2
_chemical_formula_sum 'Tm1 V1 Rh2'
_symmetry_space_group_name_H-M 'P 4/m m m'
_symmetry_Int_Tables_number 123
_symmetry_space_group_name_Hall '-P 4 2'
_cell_length_a 4.6173
_cell_length_b 4.6173
_cell_length_c 3.1290
_cell_angle_alpha 90.00
_cell_angle_beta 90.00
_cell_angle_gamma 90.00
loop_
_atom_site_label
_atom_site_type_symbol
_atom_site_fract_x
_atom_site_fract_y
_atom_site_fract_z
Tm1 Tm 0.0000 0.0000 0.0000
V1 V 0.5000 0.5000 0.0000
Rh1 Rh 0.0000 0.5000 0.5000
```

Output
The total magnetic moment comes out at 2.19 Bohr magnetons per cell. For the excess energy over the best structure of this formula in the dataset, the calculation gives 0.0621 eV/atom.

# 7
First-principles (PBE-GGA) data for a relaxed TmVRh crystal, as listed in Alexandria.

```
data_TmVRh
_chemical_formula_sum 'Tm4 V4 Rh4'
_symmetry_space_group_name_H-M 'C 1 2/m 1'
_symmetry_Int_Tables_number 12
_cell_length_a 10.4161
_cell_length_b 3.3117
_cell_length_c 6.4899
_cell_angle_alpha 90.00
_cell_angle_beta 108.43
_cell_angle_gamma 90.00
loop_
_symmetry_equiv_pos_as_xyz
'x,y,z'
'-x,-y,-z'
'-x,y,-z'
'x,-y,z'
'x+1/2,y+1/2,z'
'-x+1/2,-y+1/2,-z'
'-x+1/2,y+1/2,-z'
'x+1/2,-y+1/2,z'
loop_
_atom_site_label
_atom_site_type_symbol
_atom_site_fract_x
_atom_site_fract_y
_atom_site_fract_z
Tm1 Tm 0.1441 0.0000 0.3177
V1 V 0.1759 0.0000 0.8594
Rh1 Rh 0.0000 0.5000 0.0000
Rh2 Rh 0.0000 0.5000 0.5000
```

Output
The total magnetic moment comes out at 0.86 Bohr magnetons per cell.

# 8
First-principles (PBE-GGA) data for a relaxed TmVRh2 crystal, as listed in Alexandria.

```
data_TmVRh2
_chemical_formula_sum 'Tm4 V4 Rh8'
_symmetry_space_group_name_H-M 'F m -3 m'
_symmetry_Int_Tables_number 225
_symmetry_space_group_name_Hall '-F 4 2 3'
_cell_length_a 6.4419
_cell_length_b 6.4419
_cell_length_c 6.4419
_cell_angle_alpha 90.00
_cell_angle_beta 90.00
_cell_angle_gamma 90.00
loop_
_atom_site_label
_atom_site_type_symbol
_atom_site_fract_x
_atom_site_fract_y
_atom_site_fract_z
Tm1 Tm 0.0000 0.0000 0.0000
V1 V 0.0000 0.0000 0.5000
Rh1 Rh 0.2500 0.2500 0.2500
```

Output
The total magnetic moment comes out at 8.42 Bohr magnetons per cell. For the excess energy over the best structure of this formula in the dataset, the calculation gives 0.0672 eV/atom.

# 9
First-principles (PBE-GGA) data for a relaxed TmVRh2 crystal, as listed in Alexandria.

```
data_TmVRh2
_chemical_formula_sum 'Tm3 V3 Rh6'
_symmetry_space_group_name_H-M 'R -3 m'
_symmetry_Int_Tables_number 166
_symmetry_space_group_name_Hall '-R 3 2"'
_cell_length_a 4.2726
_cell_length_b 4.2726
_cell_length_c 13.3165
_cell_angle_alpha 90.00
_cell_angle_beta 90.00
_cell_angle_gamma 120.00
loop_
_atom_site_label
_atom_site_type_symbol
_atom_site_fract_x
_atom_site_fract_y
_atom_site_fract_z
Tm1 Tm 0.0000 0.0000 0.0000
V1 V 0.0000 0.0000 0.5000
Rh1 Rh 0.0000 0.0000 0.2206
```

Output
The total magnetic moment comes out at 0.00 Bohr magnetons per cell. For the excess energy over the best structure of this formula in the dataset, the calculation gives 0.0893 eV/atom.

# 10
First-principles (PBE-GGA) data for a relaxed Y2Tm3Rh2 crystal, as listed in Alexandria.

```
data_Y2Tm3Rh2
_chemical_formula_sum 'Y4 Tm6 Rh4'
_symmetry_space_group_name_H-M 'C 1 2/m 1'
_symmetry_Int_Tables_number 12
_cell_length_a 11.8990
_cell_length_b 3.7872
_cell_length_c 8.8334
_cell_angle_alpha 90.00
_cell_angle_beta 116.56
_cell_angle_gamma 90.00
loop_
_symmetry_equiv_pos_as_xyz
'x,y,z'
'-x,-y,-z'
'-x,y,-z'
'x,-y,z'
'x+1/2,y+1/2,z'
'-x+1/2,-y+1/2,-z'
'-x+1/2,y+1/2,-z'
'x+1/2,-y+1/2,z'
loop_
_atom_site_label
_atom_site_type_symbol
_atom_site_fract_x
_atom_site_fract_y
_atom_site_fract_z
Y1 Y 0.1638 0.0000 0.3058
Tm1 Tm 0.0000 0.5000 0.5000
Tm2 Tm 0.1175 0.5000 0.9316
Rh1 Rh 0.1730 0.0000 0.7395
```

Output
The total magnetic moment comes out at 0.00 Bohr magnetons per cell.

# 11
First-principles (PBE-GGA) data for a relaxed YTm4Rh2 crystal, as listed in Alexandria.

```
data_YTm4Rh2
_chemical_formula_sum 'Y2 Tm8 Rh4'
_symmetry_space_group_name_H-M 'P 1 21/m 1'
_symmetry_Int_Tables_number 11
_cell_length_a 7.7179
_cell_length_b 6.2787
_cell_length_c 7.8409
_cell_angle_alpha 90.00
_cell_angle_beta 112.43
_cell_angle_gamma 90.00
loop_
_symmetry_equiv_pos_as_xyz
'x,y,z'
'-x,-y,-z'
'-x,y+1/2,-z'
'x,-y+1/2,z'
loop_
_atom_site_label
_atom_site_type_symbol
_atom_site_fract_x
_atom_site_fract_y
_atom_site_fract_z
Y1 Y 0.0225 0.2500 0.1601
Tm1 Tm 0.2390 0.5017 0.5876
Tm2 Tm 0.3352 0.7500 0.2506
Tm3 Tm 0.3840 0.2500 0.0172
Rh1 Rh 0.0118 0.2500 0.7375
Rh2 Rh 0.4147 0.2500 0.3749
```

Output
The total magnetic moment comes out at 0.00 Bohr magnetons per cell.

# 12
First-principles (PBE-GGA) data for a relaxed Y2TmRh3 crystal, as listed in Alexandria.

```
data_Y2TmRh3
_chemical_formula_sum 'Y4 Tm2 Rh6'
_symmetry_space_group_name_H-M 'P -3 m 1'
_symmetry_Int_Tables_number 164
_symmetry_space_group_name_Hall '-P 3 2"'
_cell_length_a 4.8366
_cell_length_b 4.8366
_cell_length_c 11.8184
_cell_angle_alpha 90.00
_cell_angle_beta 90.00
_cell_angle_gamma 120.00
loop_
_atom_site_label
_atom_site_type_symbol
_atom_site_fract_x
_atom_site_fract_y
_atom_site_fract_z
Y1 Y 0.0000 0.0000 0.0000
Y2 Y 0.0000 0.0000 0.5000
Y3 Y 0.3333 0.6667 0.1682
Tm1 Tm 0.3333 0.6667 0.6658
Rh1 Rh 0.0000 0.0000 0.2524
Rh2 Rh 0.3333 0.6667 0.4171
Rh3 Rh 0.3333 0.6667 0.9143
```

Output
The total magnetic moment comes out at 0.00 Bohr magnetons per cell.

Number 1: V 107.5 Å³ per cell, energy of formation from the pure elements 1.3910 eV per atom. Number 2: V 194.7 Å³ per cell, energy of formation from the pure elements -0.6761 eV per atom. Number 3: V 421.9 Å³ per cell, energy of formation from the pure elements -0.5690 eV per atom. Number 4: V 1067.9 Å³ per cell, energy of formation from the pure elements 0.1508 eV per atom. Number 5: V 66.0 Å³ per cell, energy of formation from the pure elements -0.5212 eV per atom. Number 6: V 66.7 Å³ per cell, energy of formation from the pure elements -0.4590 eV per atom. Number 7: V 212.4 Å³ per cell, energy of formation from the pure elements -0.1710 eV per atom. Number 8: V 267.3 Å³ per cell, energy of formation from the pure elements -0.4540 eV per atom. Number 9: V 210.5 Å³ per cell, energy of formation from the pure elements -0.4319 eV per atom. Number 10: V 356.1 Å³ per cell, energy of formation from the pure elements -0.6120 eV per atom. Number 11: V 351.2 Å³ per cell, energy of formation from the pure elements -0.5267 eV per atom. Number 12: V 239.4 Å³ per cell, energy of formation from the pure elements -0.8834 eV per atom.